1.
Compound: Sr3HgBi
Source: the Alexandria database
Functional: PBE-GGA
Structure: optimized geometry

ΔH_f (0 K)   -0.51 eV/atom

Cell: 10.6751 16.7594 4.6867 Å, 90.00 90.00 90.00°
Last column: nearest neighbours and their distance in Å.
Space group C222 (No. 21)
Symmetry-distinct sites (fractional):
Sr (0.0000, 0.1413, 0.0000)  2 Hg 3.23, 2 Bi 3.33
Sr (0.1873, 0.3851, 0.4995)  2 Hg 3.33, 2 Bi 3.63
Hg (0.2500, 0.2500, 0.9994)  6 Sr 3.23-3.33
Bi (0.0000, 0.0000, 0.5000)  4 Sr 3.33
Bi (0.0000, 0.5000, 0.0000)  8 Sr 3.63

2.
Compound: OsPd2WN
Source: the Alexandria database
Functional: PBE-GGA
Structure: optimized geometry

Energy relative to the elements, uncorrected   12.81 eV/f.u.

Cell: 4.8676 4.8676 4.7060 Å, 90.00 90.00 90.00°
Last column: nearest neighbours and their distance in Å.
Space group P4/mmm (No. 123)
Symmetry-distinct sites (fractional):
Os (0.0000, 0.0000, 0.0000)  2 W 2.35, 4 Pd 2.43
Pd (0.0000, 0.5000, 0.0000)  2 Os 2.43
W (0.0000, 0.0000, 0.5000)  2 Os 2.35
N (0.5000, 0.5000, 0.5000)  8 Pd 3.39, 4 W 3.44

The records above yield calculated total energy values of -2.353; -6.016 eV per atom, respectively.